## TcSnH2W (PBE-GGA)

Data for crystalline TcSnH2W at its relaxed geometry.

Unit cell a=4.768 b=2.889 c=4.987 alpha=90.00 beta=108.22 gamma=90.00
Fractional positions:
Tc: 0.000 0.000 0.000
Sn: 0.500 0.000 0.500
H: 0.917 0.500 0.209
H: 0.083 0.500 0.791
W: 0.500 0.500 0.000

## Properties
Calculated density: 10.244 g/cm3
Space group: No. 10
Energy above the lowest structure with this stoichiometry: 1.21 eV/f.u.
D(E_F): 2.8 states/eV/cell



## Sm4Er2Th3 (PBE-GGA)

Data for crystalline Sm4Er2Th3 at its relaxed geometry.

Unit cell a=3.570 b=3.570 c=26.801 alpha=90.00 beta=90.00 gamma=120.00
Fractional positions:
Er: 0.667 0.333 0.874
Er: 0.667 0.333 0.088
Sm: 0.667 0.333 0.432
Sm: 0.667 0.333 0.213
Sm: 0.000 0.000 0.766
Sm: 0.000 0.000 0.545
Th: 0.667 0.333 0.655
Th: 0.000 0.000 0.321
Th: 0.000 0.000 0.983

## Properties
Calculated density: 9.160 g/cm3
ΔH_f (0 K): 0.09 eV/atom
Space group: No. 156
Energy above the lowest structure with this stoichiometry: 0.40 eV/f.u.
D(E_F): 18.3 states/eV/cell



## SnHPtRh2 (PBE-GGA)

Data for crystalline SnHPtRh2 at its relaxed geometry.

Unit cell a=4.069 b=4.069 c=3.985 alpha=90.00 beta=90.00 gamma=90.00
Fractional positions:
Rh: 0.500 0.000 0.000
Rh: 0.000 0.500 0.000
H: 0.000 0.000 0.000
Sn: 0.500 0.500 0.500
Pt: 0.000 0.000 0.500

## Properties
Calculated density: 13.105 g/cm3
Space group: No. 123
Energy above the lowest structure with this stoichiometry: 0.00 eV/f.u.
D(E_F): 3.3 states/eV/cell



## Tl3Cd7Ga2 (PBE-GGA)

Data for crystalline Tl3Cd7Ga2 at its relaxed geometry.

Unit cell a=6.048 b=6.048 c=10.296 alpha=72.92 beta=72.92 gamma=60.00
Fractional positions:
Ga: 0.333 0.333 0.000
Ga: 0.667 0.667 0.000
Tl: 0.144 0.144 0.569
Tl: 0.856 0.856 0.431
Tl: 0.000 0.000 0.000
Cd: 0.500 0.500 0.500
Cd: 0.079 0.585 0.750
Cd: 0.921 0.415 0.250
Cd: 0.415 0.415 0.250
Cd: 0.585 0.079 0.750
Cd: 0.415 0.921 0.250
Cd: 0.585 0.585 0.750

## Properties
Calculated density: 8.331 g/cm3
ΔH_f (0 K): 0.06 eV/atom
Space group: No. 166
D(E_F): 4.1 states/eV/cell